Model a:
Entry from Alexandria via LeMat-Bulk: a relaxed KZrI2O crystal (GGA-PBE).

## Properties
Its density of states at the Fermi level is 7.39 states/eV per cell.

Unit cell a=6.071 b=6.071 c=4.241 alpha=90.00 beta=90.00 gamma=90.00
Sites, in units of the cell vectors:
K1 0.000 0.000 0.000
Zr1 0.500 0.500 0.500
I1 0.000 0.500 0.000
I2 0.500 0.000 0.000
O1 0.000 0.000 0.500



Model b:
Entry from Alexandria via LeMat-Bulk: a relaxed KZrI2O crystal (GGA-PBE).

## Properties
Its density of states at the Fermi level is 0.99 states/eV per cell.

Unit cell a=6.122 b=6.122 c=4.093 alpha=90.00 beta=90.00 gamma=90.00
Sites, in units of the cell vectors:
K1 0.000 0.000 0.000
Zr1 0.500 0.500 0.500
I1 0.000 0.500 0.500
I2 0.500 0.000 0.500
O1 0.500 0.500 0.000



Most stable: model b. Least stable: model a.



Model a:
Entry from Alexandria via LeMat-Bulk: a relaxed KZrIO2 crystal (GGA-PBE).

## Properties
Its density of states at the Fermi level is 4.28 states/eV per cell.

Unit cell a=4.563 b=4.563 c=5.816 alpha=90.00 beta=90.00 gamma=90.00
Sites, in units of the cell vectors:
K1 0.000 0.000 0.000
Zr1 0.500 0.500 0.500
I1 0.000 0.000 0.500
O1 0.000 0.500 0.000
O2 0.500 0.000 0.000



Model b:
Entry from Alexandria via LeMat-Bulk: a relaxed KZrIO2 crystal (GGA-PBE).

Unit cell a=4.281 b=4.281 c=6.035 alpha=90.00 beta=90.00 gamma=90.00
Sites, in units of the cell vectors:
K1 0.000 0.000 0.000
Zr1 0.500 0.500 0.500
I1 0.500 0.500 0.000
O1 0.000 0.500 0.500
O2 0.500 0.000 0.500



Most stable: model b. Least stable: model a.



Model a:
Entry from Alexandria via LeMat-Bulk: a relaxed KOs3I crystal (GGA-PBE).

## Properties
Its density of states at the Fermi level is 9.38 states/eV per cell.

Unit cell a=4.932 b=4.932 c=4.932 alpha=90.00 beta=90.00 gamma=90.00
Sites, in units of the cell vectors:
K1 0.000 0.000 0.000
Os1 0.000 0.500 0.500
Os2 0.500 0.000 0.500
Os3 0.500 0.500 0.000
I1 0.500 0.500 0.500



Model b:
Entry from Alexandria via LeMat-Bulk: a relaxed KOs3I crystal (GGA-PBE).

## Properties
Its density of states at the Fermi level is 7.80 states/eV per cell.

Unit cell a=4.732 b=4.732 c=4.732 alpha=90.00 beta=90.00 gamma=90.00
Sites, in units of the cell vectors:
K1 0.000 0.000 0.000
Os1 0.000 0.000 0.500
Os2 0.000 0.500 0.000
Os3 0.500 0.000 0.000
I1 0.500 0.500 0.500



Most stable: model a. Least stable: model b.



Model a:
Entry from Alexandria via LeMat-Bulk: a relaxed KPI2 crystal (GGA-PBE).

## Properties
Its density of states at the Fermi level is 9.20 states/eV per cell.

Unit cell a=5.811 b=5.811 c=5.811 alpha=60.00 beta=60.00 gamma=60.00
Sites, in units of the cell vectors:
K1 0.000 0.000 0.000
P1 0.500 0.500 0.500
I1 0.250 0.250 0.250
I2 0.750 0.750 0.750



Model b:
Entry from Alexandria via LeMat-Bulk: a relaxed KPI2 crystal (GGA-PBE).

## Properties
Its density of states at the Fermi level is 0.08 states/eV per cell.

Unit cell a=9.646 b=9.646 c=9.646 alpha=139.47 beta=139.47 gamma=58.67
Sites, in units of the cell vectors:
K1 0.000 0.000 0.000
K2 0.750 0.250 0.500
P1 0.250 0.750 0.500
P2 0.500 0.500 0.000
I1 0.236 0.625 0.111
I2 0.375 0.486 0.611
I3 0.514 0.125 0.889
I4 0.875 0.764 0.389



Most stable: model b. Least stable: model a.



Model a:
Entry from Alexandria via LeMat-Bulk: a relaxed KP2SI crystal (GGA-PBE).

## Properties
Its density of states at the Fermi level is 3.94 states/eV per cell.

Unit cell a=5.358 b=5.358 c=5.342 alpha=90.00 beta=90.00 gamma=90.00
Sites, in units of the cell vectors:
K1 0.000 0.000 0.000
P1 0.000 0.500 0.500
P2 0.500 0.000 0.500
S1 0.500 0.500 0.000
I1 0.500 0.500 0.500



Model b:
Entry from Alexandria via LeMat-Bulk: a relaxed KP2SI crystal (GGA-PBE).

## Properties
Its density of states at the Fermi level is 13.08 states/eV per cell.

Unit cell a=6.259 b=6.259 c=5.758 alpha=90.00 beta=90.00 gamma=90.00
Sites, in units of the cell vectors:
K1 0.000 0.000 0.000
P1 0.000 0.500 0.000
P2 0.500 0.000 0.000
S1 0.000 0.000 0.500
I1 0.500 0.500 0.500



Most stable: model a. Least stable: model b.



Model a:
Entry from Alexandria via LeMat-Bulk: a relaxed KSbPI2 crystal (GGA-PBE).

## Properties
Its density of states at the Fermi level is 9.52 states/eV per cell.

Unit cell a=6.654 b=6.654 c=7.230 alpha=90.00 beta=90.00 gamma=90.00
Sites, in units of the cell vectors:
K1 0.000 0.000 0.000
Sb1 0.000 0.000 0.500
P1 0.500 0.500 0.500
I1 0.000 0.500 0.000
I2 0.500 0.000 0.000



Model b:
Entry from Alexandria via LeMat-Bulk: a relaxed KSbPI2 crystal (GGA-PBE).

## Properties
Its density of states at the Fermi level is 3.10 states/eV per cell.

Unit cell a=6.102 b=6.102 c=5.004 alpha=90.00 beta=90.00 gamma=90.00
Sites, in units of the cell vectors:
K1 0.000 0.000 0.000
Sb1 0.500 0.500 0.000
P1 0.500 0.500 0.500
I1 0.000 0.500 0.500
I2 0.500 0.000 0.500



Most stable: model b. Least stable: model a.



Model a:
Entry from Alexandria via LeMat-Bulk: a relaxed KSb2PI crystal (GGA-PBE).

## Properties
Its density of states at the Fermi level is 4.59 states/eV per cell.

Unit cell a=5.104 b=5.104 c=9.045 alpha=90.00 beta=90.00 gamma=90.00
Sites, in units of the cell vectors:
K1 0.000 0.000 0.000
Sb1 0.000 0.500 0.500
Sb2 0.500 0.000 0.500
P1 0.500 0.500 0.500
I1 0.500 0.500 0.000



Model b:
Entry from Alexandria via LeMat-Bulk: a relaxed KSb2PI crystal (GGA-PBE).

Unit cell a=8.072 b=8.072 c=6.552 alpha=90.00 beta=90.00 gamma=90.00
Sites, in units of the cell vectors:
K1 0.000 0.000 0.000
Sb1 0.000 0.500 0.000
Sb2 0.500 0.000 0.000
P1 0.500 0.500 0.500
I1 0.000 0.000 0.500



Most stable: model a. Least stable: model b.



Model a:
Entry from Alexandria via LeMat-Bulk: a relaxed KTe2PI crystal (GGA-PBE).

## Properties
Its density of states at the Fermi level is 4.29 states/eV per cell.

Unit cell a=5.336 b=5.336 c=6.068 alpha=90.00 beta=90.00 gamma=90.00
Sites, in units of the cell vectors:
K1 0.000 0.000 0.000
Te1 0.000 0.500 0.500
Te2 0.500 0.000 0.500
P1 0.500 0.500 0.500
I1 0.500 0.500 0.000



Model b:
Entry from Alexandria via LeMat-Bulk: a relaxed KTe2PI crystal (GGA-PBE).

## Properties
Its density of states at the Fermi level is 6.70 states/eV per cell.

Unit cell a=6.641 b=6.641 c=6.426 alpha=90.00 beta=90.00 gamma=90.00
Sites, in units of the cell vectors:
K1 0.000 0.000 0.000
Te1 0.000 0.500 0.000
Te2 0.500 0.000 0.000
P1 0.500 0.500 0.500
I1 0.000 0.000 0.500



Most stable: model a. Least stable: model b.